Crystalline Th2Hg3Pt at its relaxed geometry, computed with PBE.

Lattice parameters (Å, degrees): 3.4564 4.9649 8.5499 90.00 90.00 90.00
Fractional positions:
Th 0.0000 0.0000 0.0000
Th 0.0000 0.5000 0.4491
Hg 0.5000 0.0000 0.6329
Hg 0.5000 0.5000 0.1343
Hg 0.5000 0.5000 0.7980
Pt 0.5000 0.0000 0.3001

Properties
- VASP energy (eV per atom) = -4.12
- V (Å³/atom) = 24.5
- crystal system = orthorhombic